No. 1
PmAl12Ag6 | Alexandria | GGA-PBE | relaxed; energy relative to the elements = 0.009 eV per atom; VASP energy = -3.505 eV/atom
1.0
5.7827 3.3387 3.1176
-5.7827 3.3387 3.1176
0.0000 -6.6773 3.1176
Pm Al Ag
1 12 6
direct
0.0000 0.0000 0.0000
0.1091 0.5000 0.8909
0.1091 0.8909 0.5000
0.1375 0.3808 0.3808
0.3808 0.1375 0.3808
0.3808 0.3808 0.1375
0.5000 0.1091 0.8909
0.5000 0.8909 0.1091
0.6192 0.6192 0.8625
0.6192 0.8625 0.6192
0.8625 0.6192 0.6192
0.8909 0.1091 0.5000
0.8909 0.5000 0.1091
0.2835 0.7084 0.7084
0.2916 0.2916 0.7165
0.2916 0.7165 0.2916
0.7084 0.2835 0.7084
0.7084 0.7084 0.2835
0.7165 0.2916 0.2916

No. 2
PmAlAg2 | Alexandria | GGA-PBE | relaxed; energy relative to the elements = -0.306 eV per atom; VASP energy = -3.855 eV/atom
1.0
8.3913 0.0000 0.0000
0.0000 7.1790 0.0000
0.0000 0.0000 5.7166
Pm Al Ag
4 4 8
direct
0.0543 0.2500 0.1469
0.4457 0.7500 0.6469
0.5543 0.2500 0.3531
0.9457 0.7500 0.8531
0.1106 0.7500 0.3483
0.3894 0.2500 0.8483
0.6106 0.7500 0.1517
0.8894 0.2500 0.6517
0.1761 0.0500 0.6145
0.1761 0.4500 0.6145
0.3239 0.5500 0.1145
0.3239 0.9500 0.1145
0.6761 0.0500 0.8855
0.6761 0.4500 0.8855
0.8239 0.5500 0.3855
0.8239 0.9500 0.3855

No. 3
PmAlAg2 | Alexandria | GGA-PBE | relaxed; energy relative to the elements = -0.298 eV per atom; VASP energy = -3.847 eV/atom
1.0
0.0000 3.4800 3.4800
3.4800 0.0000 3.4800
3.4800 3.4800 0.0000
Pm Al Ag
1 1 2
direct
0.0000 0.0000 0.0000
0.5000 0.5000 0.5000
0.2500 0.2500 0.2500
0.7500 0.7500 0.7500

No. 4
Pm2Al5Ag3 | Alexandria | GGA-PBE | relaxed; energy relative to the elements = -0.382 eV per atom; VASP energy = -4.059 eV/atom
1.0
-5.4023 6.1850 3.0799
5.4023 -6.1850 3.0799
5.4023 6.1850 -3.0799
Pm Al Ag
4 10 6
direct
0.1299 0.2379 0.3677
0.3701 0.7379 0.1080
0.6299 0.2621 0.8920
0.8701 0.7621 0.6323
0.0156 0.7500 0.2656
0.1138 0.6486 0.7624
0.2500 0.2500 0.0000
0.3862 0.1486 0.5348
0.4844 0.7500 0.7344
0.5156 0.2500 0.2656
0.6138 0.8514 0.4652
0.7500 0.7500 0.0000
0.8862 0.3514 0.2376
0.9844 0.2500 0.7344
0.1317 0.8798 0.0115
0.2500 0.7500 0.5000
0.3683 0.3798 0.7481
0.6317 0.6202 0.2519
0.7500 0.2500 0.5000
0.8683 0.1202 0.9885

No. 5
Pm2Al4Ag5 | Alexandria | GGA-PBE | relaxed; energy relative to the elements = -0.226 eV per atom; VASP energy = -3.747 eV/atom
1.0
0.0000 4.8317 7.8939
3.0251 0.0000 7.8939
3.0251 4.8317 0.0000
Pm Al Ag
2 4 5
direct
0.1422 0.1422 0.8578
0.8578 0.8578 0.1422
0.2224 0.5047 0.4953
0.4953 0.7776 0.2224
0.5047 0.2224 0.7776
0.7776 0.4953 0.5047
0.0000 0.0000 0.5000
0.2500 0.2500 0.2500
0.5000 0.5000 0.0000
0.5000 0.5000 0.5000
0.7500 0.7500 0.7500

No. 6
Pm7Al2Ag2 | Alexandria | GGA-PBE | relaxed; energy relative to the elements = 0.027 eV per atom; VASP energy = -4.195 eV/atom
1.0
3.9763 -5.5566 0.0000
3.9763 5.5566 0.0000
0.0000 0.0000 7.6012
Pm Al Ag
7 2 2
direct
0.0000 0.0000 0.0000
0.0000 0.5000 0.2861
0.0000 0.5000 0.7139
0.5000 0.0000 0.2861
0.5000 0.0000 0.7139
0.5000 0.5000 0.2704
0.5000 0.5000 0.7296
0.1643 0.1643 0.5000
0.8357 0.8357 0.5000
0.2899 0.7101 0.0000
0.7101 0.2899 0.0000

No. 7
Pm2Al2Ag3 | Alexandria | GGA-PBE | relaxed; energy relative to the elements = -0.295 eV per atom; VASP energy = -3.944 eV/atom
1.0
2.1792 -9.9409 0.0000
2.1792 9.9409 0.0000
0.0000 0.0000 7.2811
Pm Al Ag
4 4 6
direct
0.0585 0.9415 0.7500
0.1545 0.8455 0.2500
0.8455 0.1545 0.7500
0.9415 0.0585 0.2500
0.3064 0.6936 0.0578
0.3064 0.6936 0.4422
0.6936 0.3064 0.5578
0.6936 0.3064 0.9422
0.2245 0.7755 0.7500
0.4355 0.5645 0.5581
0.4355 0.5645 0.9419
0.5645 0.4355 0.0581
0.5645 0.4355 0.4419
0.7755 0.2245 0.2500

No. 8
PmAl2Ag4 | Alexandria | GGA-PBE | relaxed; energy relative to the elements = -0.239 eV per atom; VASP energy = -3.616 eV/atom
1.0
-3.5152 3.5152 2.7195
3.5152 -3.5152 2.7195
3.5152 3.5152 -2.7195
Pm Al Ag
1 2 4
direct
0.0000 0.0000 0.0000
0.2500 0.7500 0.5000
0.7500 0.2500 0.5000
0.3026 0.3026 0.6052
0.3026 0.6974 0.0000
0.6974 0.3026 0.0000
0.6974 0.6974 0.3948

What is the formula in the first record? PmAl12Ag6